Compound: Li3Ca3Ac
Source: Alexandria via LeMat-Bulk
Functional: PBE-GGA
Structure: optimized geometry

a b c (Å): 8.1234 8.1234 8.1234
angles (deg): 90.00 90.00 90.00
Closest atoms and distances in Å follow each position.
Fractional positions:
1 Li 0.0000 0.2500 0.5000  4 Ca 2.87
2 Li 0.0000 0.7500 0.5000  4 Ca 2.87
3 Li 0.2500 0.5000 0.0000  4 Ca 2.87
4 Li 0.5000 0.0000 0.2500  4 Ca 2.87
5 Li 0.5000 0.0000 0.7500  4 Ca 2.87
6 Li 0.7500 0.5000 0.0000  4 Ca 2.87
7 Ca 0.0000 0.5000 0.2500  4 Li 2.87
8 Ca 0.0000 0.5000 0.7500  4 Li 2.87
9 Ca 0.2500 0.0000 0.5000  4 Li 2.87
10 Ca 0.5000 0.2500 0.0000  4 Li 2.87
11 Ca 0.5000 0.7500 0.0000  4 Li 2.87
12 Ca 0.7500 0.0000 0.5000  4 Li 2.87
13 Ac 0.0000 0.0000 0.0000  12 Li 4.54, 12 Ca 4.54
14 Ac 0.5000 0.5000 0.5000  12 Li 4.54, 12 Ca 4.54

## Properties
SG ... Pm-3n, No. 223



Compound: Li3Ca2Ac
Source: Alexandria via LeMat-Bulk
Functional: PBE-GGA
Structure: optimized geometry

a b c (Å): 3.9924 3.9924 11.9813
angles (deg): 90.00 90.00 90.00
Closest atoms and distances in Å follow each position.
Fractional positions:
1 Li 0.0000 0.0000 0.0000  8 Ca 3.45
2 Li 0.0000 0.0000 0.3229  4 Ca 3.40, 4 Ac 3.53
3 Li 0.0000 0.0000 0.6771  4 Ca 3.40, 4 Ac 3.53
4 Ca 0.5000 0.5000 0.1651  8 Li 3.40-3.45
5 Ca 0.5000 0.5000 0.8349  8 Li 3.40-3.45
6 Ac 0.5000 0.5000 0.5000  8 Li 3.53

## Properties
SG ... P4/mmm, No. 123



Compound: LiCaAc2
Source: Alexandria via LeMat-Bulk
Functional: PBE-GGA
Structure: optimized geometry

a b c (Å): 13.6241 13.6241 13.6241
angles (deg): 16.08 16.08 16.08
Closest atoms and distances in Å follow each position.
Fractional positions:
1 Li 0.0000 0.0000 0.0000  2 Ac 3.48, 6 Li 3.81
2 Ca 0.5000 0.5000 0.5000  6 Ca 3.81, 6 Ac 3.92
3 Ac 0.0863 0.0863 0.0863  1 Li 3.48, 6 Ac 3.81
4 Ac 0.9137 0.9137 0.9137  1 Li 3.48, 6 Ac 3.81

## Properties
SG ... R-3m, No. 166



Compound: LiCaAc
Source: Alexandria via LeMat-Bulk
Functional: PBE-GGA
Structure: optimized geometry

a b c (Å): 3.8537 3.8537 8.7714
angles (deg): 90.00 90.00 120.00
Closest atoms and distances in Å follow each position.
Fractional positions:
1 Li 0.0000 0.0000 0.0000  3 Ca 3.51, 3 Ac 3.58, 6 Li 3.85
2 Ca 0.6667 0.3333 0.3099  3 Li 3.51, 6 Ca 3.85, 3 Ac 3.93
3 Ac 0.3333 0.6667 0.6796  3 Li 3.58, 6 Ac 3.85, 3 Ca 3.93

## Properties
SG ... P3m1, No. 156



Compound: LiCaAcNd
Source: Alexandria via LeMat-Bulk
Functional: PBE-GGA
Structure: optimized geometry

a b c (Å): 5.9102 5.9102 5.9102
angles (deg): 60.00 60.00 60.00
Closest atoms and distances in Å follow each position.
Fractional positions:
1 Li 0.0000 0.0000 0.0000  4 Nd 3.62, 4 Ca 3.62
2 Ca 0.2500 0.2500 0.2500  4 Ac 3.62, 4 Li 3.62
3 Ac 0.5000 0.5000 0.5000  4 Nd 3.62, 4 Ca 3.62
4 Nd 0.7500 0.7500 0.7500  4 Ac 3.62, 4 Li 3.62

## Properties
SG ... F-43m, No. 216



Compound: Li2CaAcP2
Source: Alexandria via LeMat-Bulk
Functional: PBE-GGA
Structure: optimized geometry

a b c (Å): 4.2878 4.2878 7.8983
angles (deg): 90.00 90.00 120.00
Closest atoms and distances in Å follow each position.
Fractional positions:
1 Li 0.3333 0.6667 0.2145  3 P 2.48
2 Li 0.6667 0.3333 0.7855  3 P 2.48
3 Ca 0.0000 0.0000 0.0000  6 Li 3.00, 6 P 3.08
4 Ac 0.0000 0.0000 0.5000  6 P 3.26, 6 Li 3.35
5 P 0.3333 0.6667 0.7676  3 Li 2.48
6 P 0.6667 0.3333 0.2324  3 Li 2.48

## Properties
SG ... P-3m1, No. 164



| no. | DOS at the Fermi energy (states/eV per cell) | E_form (eV per atom) |
| --- | --- | --- |
| 1 | 21.49 | 0.52 |
| 2 | 5.33 | 0.05 |
| 3 | 5.52 | 0.25 |
| 4 | 3.53 | 0.11 |
| 5 | 4.80 | 0.23 |
| 6 | 2.31 | -0.98 |